(1)
## MgVInO4 (PBE with a Hubbard U)

Data for a geometry-optimized MgVInO4 structure.

Unit cell a=6.2386 b=6.2386 c=6.2386 alpha=120.31 beta=119.38 gamma=90.27
With the nearest neighbours (Å) after each atom.
Atoms (fractional coordinates):
Mg: 0.3732 0.1232 0.2500  4 O 2.01-2.05
Mg: 0.6268 0.8768 0.7500  4 O 2.01-2.05
V: 0.0000 0.0000 0.5000  6 O 2.05-2.11
V: 0.0000 0.5000 0.0000  6 O 2.05-2.11
In: 0.0000 0.5000 0.5000  6 O 2.19-2.20
In: 0.5000 0.5000 0.0000  6 O 2.19-2.20
O: 0.2260 0.7490 0.4769  1 Mg 2.05, 2 V 2.11, 1 In 2.20
O: 0.2279 0.2510 0.9769  1 Mg 2.05, 2 V 2.11, 1 In 2.20
O: 0.2331 0.2395 0.5063  1 Mg 2.01, 1 V 2.05, 2 In 2.19
O: 0.2331 0.7268 0.9937  1 Mg 2.01, 1 V 2.05, 2 In 2.19
O: 0.7669 0.2732 0.0063  1 Mg 2.01, 1 V 2.05, 2 In 2.19
O: 0.7669 0.7605 0.4937  1 Mg 2.01, 1 V 2.05, 2 In 2.19
O: 0.7721 0.7490 0.0231  1 Mg 2.05, 2 V 2.11, 1 In 2.20
O: 0.7740 0.2510 0.5231  1 Mg 2.05, 2 V 2.11, 1 In 2.20

Output
D(E_F)	0.0000	states/eV per atom
E	-91.9	eV per cell
SG	Imma

=====

(2)
## MgVIn2O6 (PBE with a Hubbard U)

Data for a geometry-optimized MgVIn2O6 structure.

Unit cell a=5.2963 b=5.3682 c=5.6275 alpha=61.63 beta=89.55 gamma=60.62
With the nearest neighbours (Å) after each atom.
Atoms (fractional coordinates):
Mg: 0.0000 0.0000 0.0000  6 O 2.05-2.28
V: 0.4951 0.0098 0.4822  5 O 1.85-2.03
In: 0.2878 0.4326 0.8486  6 O 2.14-2.28
In: 0.7805 0.4437 0.3463  5 O 2.12-2.27
O: 0.1279 0.5051 0.1974  1 Mg 2.05, 1 V 2.08, 2 In 2.12-2.26
O: 0.2423 0.9201 0.6861  1 V 1.85
O: 0.3775 0.9257 0.1984  1 V 2.03, 1 Mg 2.06, 2 In 2.12-2.27
O: 0.6202 0.1667 0.6903  1 V 2.00, 1 In 2.16, 1 Mg 2.17
O: 0.7025 0.1781 0.2022  1 V 2.02, 1 Mg 2.05, 1 In 2.13
O: 0.8602 0.5435 0.6788  1 V 1.97, 1 In 2.14

Output
D(E_F)	0.0000	states/eV per atom
E	-63.2	eV per cell
SG	P1

=====

(3)
## MgInWO6 (PBE with a Hubbard U)

Data for a geometry-optimized MgInWO6 structure.

Unit cell a=4.8454 b=4.8454 c=9.4877 alpha=90.00 beta=90.00 gamma=90.00
With the nearest neighbours (Å) after each atom.
Atoms (fractional coordinates):
Mg: 0.0000 0.0000 0.0000  6 O 2.10-2.13
Mg: 0.5000 0.5000 0.5000  6 O 2.10-2.13
In: 0.0000 0.0000 0.6684  6 O 2.14-2.22
In: 0.5000 0.5000 0.1684  6 O 2.14-2.22
W: 0.0000 0.0000 0.3294  6 O 1.92-1.97
W: 0.5000 0.5000 0.8294  6 O 1.92-1.97
O: 0.1875 0.1875 0.1787  1 W 1.92, 1 Mg 2.13, 1 In 2.14
O: 0.1949 0.1949 0.4814  1 W 1.97, 1 Mg 2.10
O: 0.2138 0.2138 0.8408  1 W 1.96, 1 Mg 2.10, 1 In 2.20
O: 0.2862 0.7138 0.3408  1 W 1.96, 1 Mg 2.10, 1 In 2.20
O: 0.3051 0.6949 0.9814  1 W 1.97, 1 Mg 2.10
O: 0.3125 0.6875 0.6787  1 W 1.92, 1 Mg 2.13, 1 In 2.14
O: 0.6875 0.3125 0.6787  1 W 1.92, 1 Mg 2.13, 1 In 2.14
O: 0.6949 0.3051 0.9814  1 W 1.97, 1 Mg 2.10
O: 0.7138 0.2862 0.3408  1 W 1.96, 1 Mg 2.10, 1 In 2.20
O: 0.7862 0.7862 0.8408  1 W 1.96, 1 Mg 2.10, 1 In 2.20
O: 0.8051 0.8051 0.4814  1 W 1.97, 1 Mg 2.10
O: 0.8125 0.8125 0.1787  1 W 1.92, 1 Mg 2.13, 1 In 2.14

Output
D(E_F)	0.4271	states/eV per atom
E	-115.7	eV per cell
SG	P4_2nm